(1)
A plane-wave DFT calculation with PBE was carried out for GdLuAsO after structural relaxation.

As for the energy: -6.622 eV per atom.

The space group is P4/nmm (No. 129, origin choice 2) and the conventional cell measures 4.316, 4.316 and 8.705 Å, with angles of 90.00, 90.00 and 90.00 degrees. The asymmetric unit holds Gd at (0.250, 0.250, 0.107), Lu at (0.250, 0.750, 0.500), As at (0.250, 0.250, 0.699) and O at (0.250, 0.750, 0.000).

(2)
A plane-wave DFT calculation with PBE was carried out for GdLuAsO after structural relaxation.

As for the energy: -6.511 eV per atom.

The space group is P4/nmm (No. 129, origin choice 2) and the conventional cell measures 4.284, 4.284 and 8.720 Å, with angles of 90.00, 90.00 and 90.00 degrees. The asymmetric unit holds Gd at (0.250, 0.750, 0.000), Lu at (0.250, 0.250, 0.408), As at (0.250, 0.250, 0.785) and O at (0.250, 0.750, 0.500).

(3)
A plane-wave DFT calculation with PBE was carried out for Gd2MgAs2 after structural relaxation.

As for the energy: -4.965 eV per atom.

The space group is Cmc2_1 (No. 36) and the conventional cell measures 4.148, 16.288 and 7.229 Å, with angles of 90.00, 90.00 and 90.00 degrees. The asymmetric unit holds Gd at (0.000, 0.042, 0.000), Gd at (0.000, 0.200, 0.637), Mg at (0.000, 0.399, 0.839), As at (0.000, 0.184, 0.222) and As at (0.000, 0.438, 0.201).